Record 1
# EuTiNi2

EuTiNi2 after structural relaxation (PBE, the Alexandria database).

CIF file:
```
data_EuTiNi2
_chemical_formula_sum 'Eu1 Ti1 Ni2'
_space_group_name_H-M_alt 'P 1'
_space_group_IT_number 1
_space_group_name_Hall 'P 1'
_cell_length_a 3.1304
_cell_length_b 3.1304
_cell_length_c 6.9741
_cell_angle_alpha 90.00
_cell_angle_beta 90.00
_cell_angle_gamma 90.00
loop_
_atom_site_label
_atom_site_fract_x
_atom_site_fract_y
_atom_site_fract_z
_atom_site_occupancy
Eu1 0.0000 0.0000 0.0000 1
Ti1 0.0000 0.0000 0.5000 1
Ni1 0.5000 0.5000 0.3156 1
Ni2 0.5000 0.5000 0.6844 1
```

## Properties
**Formation enthalpy at 0 K**: -217.2 meV per atom
**Crystal system**: tetragonal

Record 2
# EuTl2Ni

EuTl2Ni after structural relaxation (PBE, the Alexandria database).

CIF file:
```
data_EuTl2Ni
_chemical_formula_sum 'Eu1 Tl2 Ni1'
_space_group_name_H-M_alt 'P 1'
_space_group_IT_number 1
_space_group_name_Hall 'P 1'
_cell_length_a 6.3821
_cell_length_b 6.3821
_cell_length_c 6.3821
_cell_angle_alpha 41.42
_cell_angle_beta 41.42
_cell_angle_gamma 41.42
loop_
_atom_site_label
_atom_site_fract_x
_atom_site_fract_y
_atom_site_fract_z
_atom_site_occupancy
Eu1 0.0000 0.0000 0.0000 1
Tl1 0.2192 0.2192 0.2192 1
Tl2 0.7808 0.7808 0.7808 1
Ni1 0.5000 0.5000 0.5000 1
```

## Properties
**Formation enthalpy at 0 K**: -63.5 meV per atom
**Crystal system**: trigonal